# 1
! Rb2WNCl6 (PBE, relaxed); values from VASP
&SYSTEM
  ibrav = 0, nat = 10, ntyp = 4
/
ATOMIC_SPECIES
Rb 85.47 Rb.upf
W 183.84 W.upf
N 14.01 N.upf
Cl 35.45 Cl.upf
ATOMIC_POSITIONS crystal
Rb 0.250 0.750 0.500
Rb 0.750 0.250 0.500
W 0.000 0.000 0.000
N 0.500 0.500 0.000
Cl 0.224 0.224 0.449
Cl 0.224 0.776 0.000
Cl 0.225 0.225 0.000
Cl 0.775 0.775 0.000
Cl 0.776 0.224 0.000
Cl 0.776 0.776 0.551
CELL_PARAMETERS angstrom
-3.775 3.775 5.331
3.775 -3.775 5.331
3.775 3.775 -5.331
! Space group: I4/mmm (139)
! Formation energy without anion corrections: -0.695 eV per atom


# 2
! Rb2YNCl6 (PBE, relaxed); values from VASP
&SYSTEM
  ibrav = 0, nat = 10, ntyp = 4
/
ATOMIC_SPECIES
Rb 85.47 Rb.upf
Y 88.91 Y.upf
N 14.01 N.upf
Cl 35.45 Cl.upf
ATOMIC_POSITIONS crystal
Rb 0.250 0.750 0.500
Rb 0.750 0.250 0.500
Y 0.000 0.000 0.000
N 0.500 0.500 0.000
Cl 0.228 0.228 0.456
Cl 0.228 0.772 0.000
Cl 0.281 0.281 0.000
Cl 0.719 0.719 0.000
Cl 0.772 0.228 0.000
Cl 0.772 0.772 0.544
CELL_PARAMETERS angstrom
-4.079 4.079 4.547
4.079 -4.079 4.547
4.079 4.079 -4.547
! Space group: I4/mmm (139)
! Formation energy without anion corrections: -1.212 eV per atom


# 3
! ReN2Cl (PBE, relaxed); values from VASP
&SYSTEM
  ibrav = 0, nat = 8, ntyp = 3
/
ATOMIC_SPECIES
Re 186.21 Re.upf
N 14.01 N.upf
Cl 35.45 Cl.upf
ATOMIC_POSITIONS crystal
Re 0.125 0.125 0.125
Re 0.875 0.875 0.875
N 0.000 0.000 0.000
N 0.000 0.000 0.500
N 0.000 0.500 0.000
N 0.500 0.000 0.000
Cl 0.375 0.375 0.375
Cl 0.625 0.625 0.625
CELL_PARAMETERS angstrom
0.000 4.201 4.201
4.201 0.000 4.201
4.201 4.201 0.000
! Polymorph energy (0 for the lowest one): 0.0 meV per atom
! Space group: Fd-3m (227)
! Formation energy without anion corrections: 0.212 eV per atom


# 4
! ReN2Cl6 (PBE, relaxed); values from VASP
&SYSTEM
  ibrav = 0, nat = 9, ntyp = 3
/
ATOMIC_SPECIES
Re 186.21 Re.upf
N 14.01 N.upf
Cl 35.45 Cl.upf
ATOMIC_POSITIONS crystal
Re 0.000 0.000 0.000
N 0.578 0.578 0.578
N 0.910 0.910 0.910
Cl 0.163 0.751 0.200
Cl 0.200 0.163 0.751
Cl 0.319 0.648 0.665
Cl 0.648 0.665 0.319
Cl 0.665 0.319 0.648
Cl 0.751 0.200 0.163
CELL_PARAMETERS angstrom
4.274 2.468 6.215
-4.274 2.468 6.215
0.000 -4.935 6.215
! Polymorph energy (0 for the lowest one): 0.0 meV per atom
! Space group: R3 (146)
! Formation energy without anion corrections: 0.106 eV per atom


# 5
! ReNCl3 (PBE, relaxed); values from VASP
&SYSTEM
  ibrav = 0, nat = 5, ntyp = 3
/
ATOMIC_SPECIES
Re 186.21 Re.upf
N 14.01 N.upf
Cl 35.45 Cl.upf
ATOMIC_POSITIONS crystal
Re 0.000 0.000 0.000
N 0.500 0.500 0.500
Cl 0.000 0.500 0.500
Cl 0.500 0.000 0.500
Cl 0.500 0.500 0.000
CELL_PARAMETERS angstrom
4.272 0.000 0.000
0.000 4.272 0.000
0.000 0.000 4.272
! Polymorph energy (0 for the lowest one): 1102.5 meV per atom
! Space group: Pm-3m (221)
! Formation energy without anion corrections: 2.092 eV per atom


# 6
! Re2NCl (PBE, relaxed); values from VASP
&SYSTEM
  ibrav = 0, nat = 8, ntyp = 3
/
ATOMIC_SPECIES
Re 186.21 Re.upf
N 14.01 N.upf
Cl 35.45 Cl.upf
ATOMIC_POSITIONS crystal
Re 0.051 0.625 0.926
Re 0.375 0.301 0.426
Re 0.699 0.125 0.074
Re 0.875 0.949 0.574
N 0.000 0.000 0.000
N 0.750 0.250 0.500
Cl 0.250 0.750 0.500
Cl 0.500 0.500 0.000
CELL_PARAMETERS angstrom
-2.064 2.064 6.772
2.064 -2.064 6.772
2.064 2.064 -6.772
! Polymorph energy (0 for the lowest one): 0.0 meV per atom
! Space group: I-42d (122)
! Formation energy without anion corrections: 0.805 eV per atom


# 7
! ReN2Cl (PBE, relaxed); values from VASP
&SYSTEM
  ibrav = 0, nat = 4, ntyp = 3
/
ATOMIC_SPECIES
Re 186.21 Re.upf
N 14.01 N.upf
Cl 35.45 Cl.upf
ATOMIC_POSITIONS crystal
Re 0.000 0.000 0.000
N 0.395 0.395 0.395
N 0.605 0.605 0.605
Cl 0.500 0.500 0.500
CELL_PARAMETERS angstrom
1.494 0.862 6.306
-1.494 0.862 6.306
0.000 -1.725 6.306
! Polymorph energy (0 for the lowest one): 367.1 meV per atom
! Space group: R-3m (166)
! Formation energy without anion corrections: 0.579 eV per atom


# 8
! ReNCl3 (PBE, relaxed); values from VASP
&SYSTEM
  ibrav = 0, nat = 5, ntyp = 3
/
ATOMIC_SPECIES
Re 186.21 Re.upf
N 14.01 N.upf
Cl 35.45 Cl.upf
ATOMIC_POSITIONS crystal
Re 0.000 0.000 0.000
N 0.500 0.500 0.500
Cl 0.000 0.000 0.500
Cl 0.000 0.500 0.000
Cl 0.500 0.000 0.000
CELL_PARAMETERS angstrom
4.838 0.000 0.000
0.000 4.838 0.000
0.000 0.000 4.838
! Polymorph energy (0 for the lowest one): 0.0 meV per atom
! Space group: Pm-3m (221)
! Formation energy without anion corrections: 0.990 eV per atom


# 9
! Re2NCl (PBE, relaxed); values from VASP
&SYSTEM
  ibrav = 0, nat = 4, ntyp = 3
/
ATOMIC_SPECIES
Re 186.21 Re.upf
N 14.01 N.upf
Cl 35.45 Cl.upf
ATOMIC_POSITIONS crystal
Re 0.250 0.250 0.250
Re 0.750 0.750 0.750
N 0.000 0.000 0.000
Cl 0.500 0.500 0.500
CELL_PARAMETERS angstrom
0.000 2.887 2.887
2.887 0.000 2.887
2.887 2.887 0.000
! Polymorph energy (0 for the lowest one): 844.0 meV per atom
! Space group: Fm-3m (225)
! Formation energy without anion corrections: 1.649 eV per atom


# 10
! ReN2Cl6 (PBE, relaxed); values from VASP
&SYSTEM
  ibrav = 0, nat = 9, ntyp = 3
/
ATOMIC_SPECIES
Re 186.21 Re.upf
N 14.01 N.upf
Cl 35.45 Cl.upf
ATOMIC_POSITIONS crystal
Re 0.000 0.000 0.000
N 0.250 0.250 0.250
N 0.750 0.750 0.750
Cl 0.226 0.226 0.774
Cl 0.226 0.774 0.226
Cl 0.226 0.774 0.774
Cl 0.774 0.226 0.226
Cl 0.774 0.226 0.774
Cl 0.774 0.774 0.226
CELL_PARAMETERS angstrom
0.000 5.078 5.078
5.078 0.000 5.078
5.078 5.078 0.000
! Polymorph energy (0 for the lowest one): 629.9 meV per atom
! Space group: Fm-3m (225)
! Formation energy without anion corrections: 0.736 eV per atom


# 11
! ReN2Cl (PBE, relaxed); values from VASP
&SYSTEM
  ibrav = 0, nat = 4, ntyp = 3
/
ATOMIC_SPECIES
Re 186.21 Re.upf
N 14.01 N.upf
Cl 35.45 Cl.upf
ATOMIC_POSITIONS crystal
Re 0.000 0.000 0.000
N 0.250 0.250 0.250
N 0.750 0.750 0.750
Cl 0.500 0.500 0.500
CELL_PARAMETERS angstrom
0.000 2.720 2.720
2.720 0.000 2.720
2.720 2.720 0.000
! Polymorph energy (0 for the lowest one): 1822.9 meV per atom
! Space group: Fm-3m (225)
! Formation energy without anion corrections: 2.035 eV per atom


# 12
! Sc2ReNCl (PBE, relaxed); values from VASP
&SYSTEM
  ibrav = 0, nat = 5, ntyp = 4
/
ATOMIC_SPECIES
Sc 44.96 Sc.upf
Re 186.21 Re.upf
N 14.01 N.upf
Cl 35.45 Cl.upf
ATOMIC_POSITIONS crystal
Sc 0.000 0.500 0.000
Sc 0.500 0.000 0.000
Re 0.000 0.000 0.500
N 0.500 0.500 0.000
Cl 0.500 0.500 0.500
CELL_PARAMETERS angstrom
4.343 0.000 0.000
0.000 4.343 0.000
0.000 0.000 4.434
! Space group: P4/mmm (123)
! Formation energy without anion corrections: 0.332 eV per atom


# 13
! Sr5ReN4Cl2 (PBE, relaxed); values from VASP
&SYSTEM
  ibrav = 0, nat = 12, ntyp = 4
/
ATOMIC_SPECIES
Sr 87.62 Sr.upf
Re 186.21 Re.upf
N 14.01 N.upf
Cl 35.45 Cl.upf
ATOMIC_POSITIONS crystal
Sr 0.000 0.000 0.000
Sr 0.306 0.193 0.572
Sr 0.306 0.572 0.193
Sr 0.694 0.193 0.572
Sr 0.694 0.572 0.193
Re 0.500 0.903 0.903
N 0.310 0.060 0.060
N 0.500 0.542 0.825
N 0.500 0.825 0.542
N 0.690 0.060 0.060
Cl 0.000 0.455 0.860
Cl 0.000 0.860 0.455
CELL_PARAMETERS angstrom
8.232 0.000 0.000
0.000 4.759 3.283
0.000 -4.759 3.283
! Space group: Amm2 (38)
! Formation energy without anion corrections: -0.934 eV per atom


# 14
! TaRe2NCl (PBE, relaxed); values from VASP
&SYSTEM
  ibrav = 0, nat = 5, ntyp = 4
/
ATOMIC_SPECIES
Ta 180.95 Ta.upf
Re 186.21 Re.upf
N 14.01 N.upf
Cl 35.45 Cl.upf
ATOMIC_POSITIONS crystal
Ta 0.000 0.000 0.000
Re 0.000 0.500 0.500
Re 0.500 0.000 0.500
N 0.000 0.000 0.500
Cl 0.500 0.500 0.000
CELL_PARAMETERS angstrom
4.079 0.000 0.000
0.000 4.079 0.000
0.000 0.000 4.392
! Space group: P4/mmm (123)
! Formation energy without anion corrections: 0.830 eV per atom


# 15
! ReTeN2Cl (PBE, relaxed); values from VASP
&SYSTEM
  ibrav = 0, nat = 5, ntyp = 4
/
ATOMIC_SPECIES
Re 186.21 Re.upf
Te 127.60 Te.upf
N 14.01 N.upf
Cl 35.45 Cl.upf
ATOMIC_POSITIONS crystal
Re 0.000 0.000 0.000
Te 0.500 0.500 0.000
N 0.000 0.500 0.500
N 0.500 0.000 0.500
Cl 0.500 0.500 0.500
CELL_PARAMETERS angstrom
3.978 0.000 0.000
0.000 3.978 0.000
0.000 0.000 5.044
! Polymorph energy (0 for the lowest one): 2284.9 meV per atom
! Space group: P4/mmm (123)
! Formation energy without anion corrections: 2.749 eV per atom


# 16
! ReTeN2Cl (PBE, relaxed); values from VASP
&SYSTEM
  ibrav = 0, nat = 5, ntyp = 4
/
ATOMIC_SPECIES
Re 186.21 Re.upf
Te 127.60 Te.upf
N 14.01 N.upf
Cl 35.45 Cl.upf
ATOMIC_POSITIONS crystal
Re 0.000 0.000 0.000
Te 0.000 0.000 0.500
N 0.000 0.500 0.000
N 0.500 0.000 0.000
Cl 0.500 0.500 0.500
CELL_PARAMETERS angstrom
3.892 0.000 0.000
0.000 3.892 0.000
0.000 0.000 5.733
! Polymorph energy (0 for the lowest one): 0.0 meV per atom
! Space group: P4/mmm (123)
! Formation energy without anion corrections: 0.464 eV per atom


# 17
! RhNCl3 (PBE, relaxed); values from VASP
&SYSTEM
  ibrav = 0, nat = 5, ntyp = 3
/
ATOMIC_SPECIES
Rh 102.91 Rh.upf
N 14.01 N.upf
Cl 35.45 Cl.upf
ATOMIC_POSITIONS crystal
Rh 0.000 0.000 0.000
N 0.500 0.500 0.500
Cl 0.000 0.000 0.500
Cl 0.000 0.500 0.000
Cl 0.500 0.000 0.000
CELL_PARAMETERS angstrom
4.713 0.000 0.000
0.000 4.713 0.000
0.000 0.000 4.713
! Polymorph energy (0 for the lowest one): 1121.5 meV per atom
! Space group: Pm-3m (221)
! Formation energy without anion corrections: 1.279 eV per atom


# 18
! Rh3NCl (PBE, relaxed); values from VASP
&SYSTEM
  ibrav = 0, nat = 5, ntyp = 3
/
ATOMIC_SPECIES
Rh 102.91 Rh.upf
N 14.01 N.upf
Cl 35.45 Cl.upf
ATOMIC_POSITIONS crystal
Rh 0.000 0.000 0.500
Rh 0.000 0.500 0.000
Rh 0.500 0.000 0.000
N 0.000 0.000 0.000
Cl 0.500 0.500 0.500
CELL_PARAMETERS angstrom
4.136 0.000 0.000
0.000 4.136 0.000
0.000 0.000 4.136
! Polymorph energy (0 for the lowest one): 0.0 meV per atom
! Space group: Pm-3m (221)
! Formation energy without anion corrections: 0.604 eV per atom


# 19
! RhNCl3 (PBE, relaxed); values from VASP
&SYSTEM
  ibrav = 0, nat = 20, ntyp = 3
/
ATOMIC_SPECIES
Rh 102.91 Rh.upf
N 14.01 N.upf
Cl 35.45 Cl.upf
ATOMIC_POSITIONS crystal
Rh 0.097 0.119 0.140
Rh 0.097 0.381 0.640
Rh 0.903 0.619 0.360
Rh 0.903 0.881 0.860
N 0.320 0.131 0.181
N 0.320 0.369 0.681
N 0.680 0.631 0.319
N 0.680 0.869 0.819
Cl 0.049 0.046 0.701
Cl 0.049 0.454 0.201
Cl 0.155 0.655 0.501
Cl 0.155 0.845 0.001
Cl 0.409 0.237 0.798
Cl 0.409 0.263 0.298
Cl 0.591 0.737 0.702
Cl 0.591 0.763 0.202
Cl 0.845 0.155 0.999
Cl 0.845 0.345 0.499
Cl 0.951 0.546 0.799
Cl 0.951 0.954 0.299
CELL_PARAMETERS angstrom
7.952 0.000 0.000
0.000 6.741 0.000
-0.523 0.000 10.765
! Polymorph energy (0 for the lowest one): 0.0 meV per atom
! Space group: P2_1/c (14)
! Formation energy without anion corrections: 0.157 eV per atom


# 20
! Rh2NCl (PBE, relaxed); values from VASP
&SYSTEM
  ibrav = 0, nat = 4, ntyp = 3
/
ATOMIC_SPECIES
Rh 102.91 Rh.upf
N 14.01 N.upf
Cl 35.45 Cl.upf
ATOMIC_POSITIONS crystal
Rh 0.250 0.250 0.250
Rh 0.750 0.750 0.750
N 0.000 0.000 0.000
Cl 0.500 0.500 0.500
CELL_PARAMETERS angstrom
0.000 2.934 2.934
2.934 0.000 2.934
2.934 2.934 0.000
! Polymorph energy (0 for the lowest one): 876.2 meV per atom
! Space group: Fm-3m (225)
! Formation energy without anion corrections: 1.190 eV per atom